1.
The following is a DFT calculation (PBE) of TcCl4 after structural relaxation.

spin magnetization: 0.60 μB/atom
relative energy among the computed polymorphs: 0.000 eV per atom

Structure (POSCAR):
```
TcCl4
1.0
6.1481 0.0000 0.0000
0.0000 13.0526 0.0000
0.0000 0.0000 15.4044
Tc Cl
8 32
Cartesian
0.6369 1.6751 2.8358
0.6369 4.8511 10.5380
2.4372 8.2014 2.8358
2.4372 11.3774 10.5380
3.7110 1.6751 4.8664
3.7110 4.8511 12.5686
5.5112 8.2014 4.8664
5.5112 11.3774 12.5686
0.2283 9.6185 6.3983
0.2283 9.9604 14.1005
0.4469 9.5341 3.0387
0.4469 10.0447 10.7409
1.3546 6.8698 4.6675
1.3546 12.7091 12.3697
1.5051 0.2543 1.3084
1.5051 6.2720 9.0106
1.5690 6.7806 1.3084
1.5690 12.7982 9.0106
1.7195 0.3435 4.6675
1.7195 6.1828 12.3697
2.6271 3.0079 3.0387
2.6271 3.5184 10.7409
2.8457 3.0922 6.3983
2.8457 3.4341 14.1005
3.3024 9.6185 1.3039
3.3024 9.9604 9.0061
3.5210 9.5341 4.6635
3.5210 10.0447 12.3657
4.4286 6.8698 3.0347
4.4286 12.7091 10.7369
4.5791 0.2543 6.3938
4.5791 6.2720 14.0960
4.6430 6.7806 6.3938
4.6430 12.7982 14.0960
4.7935 0.3435 3.0347
4.7935 6.1828 10.7369
5.7012 3.0079 4.6635
5.7012 3.5184 12.3657
5.9198 3.0922 1.3039
5.9198 3.4341 9.0061
```

***

2.
The following is a DFT calculation (PBE) of Y2MgP after structural relaxation.

spin magnetization: 0.00 μB/atom
relative energy among the computed polymorphs: 0.078 eV per atom
energy relative to the elements: -0.70 eV/atom

Structure (POSCAR):
```
Y2MgP
1.0
4.0320 0.0000 0.0000
0.0000 4.2210 0.0000
0.0000 0.0000 11.1879
Y Mg P
4 2 2
Cartesian
0.0000 0.0000 0.0000
0.0000 2.1105 5.5940
2.0160 0.0000 3.2985
2.0160 2.1105 8.8925
0.0000 0.0000 7.9714
0.0000 2.1105 2.3775
2.0160 0.0000 6.2493
2.0160 2.1105 0.6554
```

***

3.
The following is a DFT calculation (PBE) of Cs2AlIN after structural relaxation.

spin magnetization: 0.07 μB/atom
total DFT energy (no corrections): -12.37 eV for the cell shown

Structure (POSCAR):
```
Cs2AlIN
1.0
6.5654 0.0000 0.0000
0.0000 6.5654 0.0000
0.0000 0.0000 4.3395
Cs Al I N
2 1 1 1
Cartesian
0.0000 3.2827 0.0000
3.2827 0.0000 0.0000
0.0000 0.0000 2.1698
3.2827 3.2827 2.1698
3.2827 3.2827 0.0000
```